Crystalline AcPmZn2Pd2 at its relaxed geometry. Source: Alexandria via LeMat-Bulk, functional PBE-GGA.

```
6
Lattice="-4.419 0.991 -0.163 1.489 -3.981 -1.571 -0.960 -3.127 7.013" Properties=species:S:1:pos:R:3 pbc="T T T"
Pm -0.480 -1.564 3.507
Pd -2.709 -1.512 1.263
Pd -1.181 -4.606 4.017
Ac 0.000 0.000 0.000
Zn -3.142 -2.924 4.430
Zn -0.747 -3.194 0.850
```

Summary:
The calculation puts the formation energy at -0.674 eV per atom.